Record 1
This record from Alexandria describes an optimized crystal structure of ZnP2Au. The functional is GGA-PBE.

Lattice parameters (Å, degrees): 4.861 4.983 2.726 90.00 90.00 90.00
Fractional coordinates of all 4 atoms:
Zn1 0.000 0.000 0.000
P1 0.000 0.500 0.249
P2 0.500 0.500 0.376
Au1 0.500 0.000 0.447

Values from the calculation:
VASP energy: -3.68 eV per atom
Volume: 16.5 Å³ per atom
Crystal system: orthorhombic

Record 2
This record from Alexandria describes an optimized crystal structure of Zn4PAu. The functional is GGA-PBE.

Lattice parameters (Å, degrees): 5.127 5.127 5.127 60.00 60.00 60.00
Fractional coordinates of all 6 atoms:
Zn1 0.125 0.125 0.125
Zn2 0.125 0.125 0.625
Zn3 0.125 0.625 0.125
Zn4 0.625 0.125 0.125
P1 0.750 0.750 0.750
Au1 0.500 0.500 0.500

Values from the calculation:
VASP energy: -2.07 eV per atom
Volume: 15.9 Å³ per atom
Crystal system: cubic

Record 3
This record from Alexandria describes an optimized crystal structure of Zn2PAu. The functional is GGA-PBE.

Lattice parameters (Å, degrees): 2.902 2.902 7.774 90.00 90.00 99.13
Fractional coordinates of all 4 atoms:
Zn1 0.000 0.000 0.245
Zn2 0.000 0.000 0.755
P1 0.500 0.500 0.000
Au1 0.500 0.500 0.500

Values from the calculation:
VASP energy: -2.68 eV per atom
Volume: 16.2 Å³ per atom
Crystal system: orthorhombic

Record 4
This record from Alexandria describes an optimized crystal structure of Zn2PAu. The functional is GGA-PBE.

Lattice parameters (Å, degrees): 4.120 4.120 3.795 90.00 90.00 90.00
Fractional coordinates of all 4 atoms:
Zn1 0.000 0.500 0.000
Zn2 0.500 0.000 0.000
P1 0.000 0.000 0.500
Au1 0.500 0.500 0.500

Values from the calculation:
VASP energy: -2.69 eV per atom
Volume: 16.1 Å³ per atom
Crystal system: tetragonal